Record 1
# Au2SeCl

A PBEsol-optimized structure of Au2SeCl (meta-GGA SCAN, Alexandria via LeMat-Bulk).

Summary:
The formation energy from raw total energies is 0.136 eV per atom. The calculation puts the total DFT energy (no corrections) at -165.8 eV for the cell shown. The excess energy over the best structure of this formula in the dataset is 0.000 eV/atom.

```
Au2SeCl
1.0
-2.235 0.387 -1.977
-3.170 -2.669 3.123
-1.318 4.400 2.414
Au Se Cl
2 1 1
direct
0.000 0.000 0.500
0.000 0.500 0.000
0.000 0.000 0.000
0.000 0.500 0.500
```

---

Record 2
# Mn2CuAs

A PBEsol-optimized structure of Mn2CuAs (meta-GGA SCAN, Alexandria via LeMat-Bulk).

Summary:
The energy of formation from the pure elements comes out at -180 meV per atom. The calculation puts the total DFT energy (no corrections) at -72.6 eV for the cell shown.

```
Mn2CuAs
1.0
3.641 0.000 0.000
0.000 3.677 0.000
0.000 0.000 3.677
As Cu Mn
1 1 2
direct
0.500 0.500 0.500
0.500 0.000 0.000
0.000 0.000 0.500
0.000 0.500 0.000
```

---

Record 3
# KAs2Ru

A PBEsol-optimized structure of KAs2Ru (meta-GGA SCAN, Alexandria via LeMat-Bulk).

Summary:
The energy of formation from the pure elements comes out at 81 meV per atom. The calculation puts the total DFT energy (no corrections) at -83.2 eV for the cell shown. The excess energy over the best structure of this formula in the dataset is 0.270 eV/atom.

```
KAs2Ru
1.0
4.110 0.000 0.000
2.055 4.843 -0.026
2.055 0.957 4.748
As K Ru
2 1 1
direct
0.333 0.667 0.667
0.667 0.333 0.333
0.500 0.000 0.000
0.000 0.500 0.500
```

---

Record 4
# OsPtSe2

A PBEsol-optimized structure of OsPtSe2 (meta-GGA SCAN, Alexandria via LeMat-Bulk).

Summary:
The formation energy from raw total energies is 1.013 eV per atom. The calculation puts the total DFT energy (no corrections) at -178.2 eV for the cell shown. The excess energy over the best structure of this formula in the dataset is 0.815 eV/atom.

```
OsPtSe2
1.0
-3.905 2.034 -0.959
-3.900 -2.039 0.970
-2.598 1.573 3.329
Os Pt Se
1 1 2
direct
0.500 0.500 0.500
0.750 0.750 0.750
0.000 0.000 0.000
0.250 0.250 0.250
```

---

Record 5
# Cu2SbAs

A PBEsol-optimized structure of Cu2SbAs (meta-GGA SCAN, Alexandria via LeMat-Bulk).

Summary:
The formation energy from raw total energies is 0.120 eV per atom. The calculation puts the total DFT energy (no corrections) at -87.4 eV for the cell shown. The excess energy over the best structure of this formula in the dataset is 0.000 eV/atom.

```
Cu2SbAs
1.0
-1.937 -2.244 -0.887
2.066 -2.130 0.878
-2.932 -0.100 6.656
As Cu Sb
1 2 1
direct
0.500 0.500 0.845
0.000 0.000 0.023
0.500 0.500 0.197
0.000 0.000 0.435
```

---

Record 6
# Lu6FeSb2

A PBEsol-optimized structure of Lu6FeSb2 (meta-GGA SCAN, Alexandria via LeMat-Bulk).

Summary:
The formation energy from raw total energies is -0.586 eV per atom. The calculation puts the total DFT energy (no corrections) at -430.0 eV for the cell shown.

```
Lu6FeSb2
1.0
-2.662 -0.353 -2.951
2.717 -7.243 -1.585
-5.876 0.965 5.185
Lu Fe Sb
6 1 2
direct
0.000 0.767 0.767
0.000 0.233 0.000
0.000 0.000 0.233
0.500 0.000 0.610
0.500 0.610 0.000
0.500 0.390 0.390
0.500 0.000 0.000
0.000 0.667 0.333
0.000 0.333 0.667
```

---

Record 7
# BaCu4S3

A PBEsol-optimized structure of BaCu4S3 (meta-GGA SCAN, Alexandria via LeMat-Bulk).

Summary:
The formation energy from raw total energies is -0.754 eV per atom. The calculation puts the total DFT energy (no corrections) at -270.5 eV for the cell shown.

```
BaCu4S3
1.0
-1.174 -3.690 -0.384
4.897 1.052 -5.375
7.344 -2.974 6.110
Ba Cu S
2 8 6
direct
0.745 0.490 0.250
0.255 0.510 0.750
0.503 0.007 0.627
0.497 0.993 0.373
0.093 0.186 0.023
0.907 0.814 0.977
0.907 0.814 0.523
0.093 0.186 0.477
0.503 0.007 0.873
0.497 0.993 0.127
0.055 0.109 0.250
0.945 0.891 0.750
0.652 0.305 0.951
0.348 0.695 0.049
0.348 0.695 0.451
0.652 0.305 0.549
```

---

Record 8
# Zr2TaAu

A PBEsol-optimized structure of Zr2TaAu (meta-GGA SCAN, Alexandria via LeMat-Bulk).

Summary:
The energy of formation from the pure elements comes out at -253 meV per atom. The calculation puts the total DFT energy (no corrections) at -198.2 eV for the cell shown. The excess energy over the best structure of this formula in the dataset is 0.101 eV/atom.

```
Zr2TaAu
1.0
-1.553 3.444 2.886
1.609 0.265 4.466
2.917 3.533 1.270
Au Ta Zr
1 1 2
direct
0.000 0.000 0.000
0.500 0.500 0.500
0.250 0.250 0.250
0.750 0.750 0.750
```

---

Record 9
# Sc2RhPb

A PBEsol-optimized structure of Sc2RhPb (meta-GGA SCAN, Alexandria via LeMat-Bulk).

Summary:
The energy of formation from the pure elements comes out at -820 meV per atom. The calculation puts the total DFT energy (no corrections) at -141.3 eV for the cell shown.

```
Sc2RhPb
1.0
3.238 0.000 0.000
0.000 3.238 0.000
0.000 0.000 7.553
Pb Sc Rh
1 2 1
direct
0.500 0.500 0.000
0.000 0.000 0.708
0.000 0.000 0.292
0.500 0.500 0.500
```

---

Record 10
# CsPtNO2

A PBEsol-optimized structure of CsPtNO2 (meta-GGA SCAN, Alexandria via LeMat-Bulk).

Summary:
The formation energy from raw total energies is 0.088 eV per atom. The calculation puts the total DFT energy (no corrections) at -129.3 eV for the cell shown.

```
CsPtNO2
1.0
3.762 0.000 0.000
0.000 4.280 0.000
0.000 0.000 4.280
Cs O Pt N
1 2 1 1
direct
0.500 0.500 0.500
0.000 0.000 0.500
0.000 0.500 0.000
0.000 0.000 0.000
0.500 0.000 0.000
```

---

Record 11
# KAlTl2

A PBEsol-optimized structure of KAlTl2 (meta-GGA SCAN, Alexandria via LeMat-Bulk).

Summary:
The energy of formation from the pure elements comes out at 62 meV per atom. The calculation puts the total DFT energy (no corrections) at -160.6 eV for the cell shown. The excess energy over the best structure of this formula in the dataset is 0.010 eV/atom.

```
KAlTl2
1.0
3.368 0.000 0.000
-1.684 4.782 0.009
0.000 -0.936 7.608
Tl K Al
2 1 1
direct
0.996 0.993 0.948
0.245 0.490 0.711
0.753 0.506 0.260
0.505 0.011 0.580
```

---

Record 12
# NaTl

A PBEsol-optimized structure of NaTl (meta-GGA SCAN, Alexandria via LeMat-Bulk).

Summary:
The energy of formation from the pure elements comes out at -172 meV per atom. The calculation puts the total DFT energy (no corrections) at -307.7 eV for the cell shown.

```
NaTl
1.0
-4.842 -1.917 3.197
-3.150 -0.743 -5.216
1.457 -5.823 -1.285
Na Tl
4 4
direct
0.250 0.865 0.511
0.750 0.511 0.865
0.750 0.135 0.489
0.250 0.489 0.135
0.500 0.000 0.000
0.000 0.000 0.000
0.250 0.354 0.646
0.750 0.646 0.354
```

---

Which formula does entry 1 have?
Au2SeCl